# BeTlCl

A relaxed structure of BeTlCl (GGA-PBEsol, the Alexandria database).

Structure (extended XYZ):
```
3
Lattice="-1.526 1.526 7.008 1.526 -1.526 7.008 1.526 1.526 -7.008" Properties=species:S:1:pos:R:3 pbc="T T T"
Be 0.000 0.000 0.000
Tl 0.000 0.000 4.758
Cl 0.000 0.000 8.067
```

Values from the calculation:
Symmetry: I4mm, No. 107
D(E_F): 0.29 states/eV/atom
Raw formation energy: 0.090 eV/atom
Total DFT energy (no corrections): -8.4 eV/cell

***

# H2Pd2Pb

A relaxed structure of H2Pd2Pb (GGA-PBEsol, the Alexandria database).

Structure (extended XYZ):
```
10
Lattice="5.480 0.000 0.000 0.000 5.480 0.000 0.000 0.000 4.231" Properties=species:S:1:pos:R:3 pbc="T T T"
H 0.280 2.460 0.000
H 2.460 5.200 0.000
H 3.019 0.280 0.000
H 5.200 3.019 0.000
Pd 1.076 3.815 2.115
Pd 1.664 1.076 2.115
Pd 3.815 4.404 2.115
Pd 4.404 1.664 2.115
Pb 0.000 0.000 0.000
Pb 2.740 2.740 0.000
```

Values from the calculation:
Energy above the most stable polymorph in this dataset: 31.8 kJ per mole of atoms
Symmetry: P4/mbm, No. 127
D(E_F): 0.50 states/eV/atom
Total DFT energy (no corrections): -42.8 eV/cell

***

# Zr2ScIn

A relaxed structure of Zr2ScIn (GGA-PBEsol, the Alexandria database).

Structure (extended XYZ):
```
4
Lattice="4.379 0.000 0.000 0.000 4.379 0.000 0.000 0.000 4.461" Properties=species:S:1:pos:R:3 pbc="T T T"
Zr 0.000 2.189 0.000
Zr 2.189 0.000 0.000
Sc 0.000 0.000 2.230
In 2.189 2.189 2.230
```

Values from the calculation:
Symmetry: P4/mmm, No. 123
D(E_F): 1.12 states/eV/atom
Total DFT energy (no corrections): -28.9 eV/cell

***

- Among the records above, which one has the highest total DFT energy (no corrections)?
  BeTlCl

***

What did the second record say?
# H2Pd2Pb

A relaxed structure of H2Pd2Pb (GGA-PBEsol, the Alexandria database).

Structure (extended XYZ):
```
10
Lattice="5.480 0.000 0.000 0.000 5.480 0.000 0.000 0.000 4.231" Properties=species:S:1:pos:R:3 pbc="T T T"
H 0.280 2.460 0.000
H 2.460 5.200 0.000
H 3.019 0.280 0.000
H 5.200 3.019 0.000
Pd 1.076 3.815 2.115
Pd 1.664 1.076 2.115
Pd 3.815 4.404 2.115
Pd 4.404 1.664 2.115
Pb 0.000 0.000 0.000
Pb 2.740 2.740 0.000
```

Values from the calculation:
Energy above the most stable polymorph in this dataset: 31.8 kJ per mole of atoms
Symmetry: P4/mbm, No. 127
D(E_F): 0.50 states/eV/atom
Total DFT energy (no corrections): -42.8 eV/cell

***

- Look up the D(E_F) of the second one.
  0.50 states/eV/atom

***

- What is the total DFT energy (no corrections) in the second record?
  -42.8 eV/cell